A plane-wave DFT calculation with PBE was carried out for crystalline NaAl2SiS6 at its relaxed geometry.

Cell lengths 12.436, 12.691, 7.179 Å; angles 90.00, 117.09, 90.00 degrees
Space group C2/c (No. 15)
Unique sites:
Na  0.000  0.120  0.250 [4 per cell]
Al  0.181  0.418  0.105 [8 per cell]
Si  0.000  0.180  0.750 [4 per cell]
S  0.097  0.255  0.044 [8 per cell]
S  0.117  0.074  0.688 [8 per cell]
S  0.123  0.454  0.363 [8 per cell]

Summary:
The formation energy from raw total energies comes out at -794 meV/atom. The calculation puts the calculated total energy at -0.1725 Ha/atom.

=====

A plane-wave DFT calculation with PBE was carried out for crystalline Na2Al2SiS6 at its relaxed geometry.

Cell lengths 6.019, 10.408, 7.099 Å; angles 90.00, 106.65, 90.00 degrees
Space group C2/m (No. 12)
Unique sites:
Na  0.000  0.168  0.000 [4 per cell]
Al  0.000  0.331  0.500 [4 per cell]
Si  0.000  0.000  0.500 [2 per cell]
S  0.227  0.161  0.695 [8 per cell]
S  0.246  0.500  0.691 [4 per cell]

Summary:
The formation energy from raw total energies comes out at -1006 meV/atom. The calculation puts the calculated total energy at -0.1716 Ha/atom.

=====

A plane-wave DFT calculation with PBE was carried out for crystalline Na3Sm2AlS6 at its relaxed geometry.

Cell lengths 6.807, 11.804, 7.062 Å; angles 90.00, 108.87, 90.00 degrees
Space group C2/m (No. 12)
Unique sites:
Na  0.000  0.000  0.000 [2 per cell]
Na  0.000  0.334  0.000 [4 per cell]
Sm  0.000  0.167  0.500 [4 per cell]
Al  0.000  0.500  0.500 [2 per cell]
S  0.226  0.348  0.721 [8 per cell]
S  0.227  0.500  0.285 [4 per cell]

Summary:
The formation energy from raw total energies comes out at -1544 meV/atom. The calculation puts the calculated total energy at -0.1851 Ha/atom.

=====

A plane-wave DFT calculation with PBE was carried out for crystalline Na2Al2SnS6 at its relaxed geometry.

Cell lengths 6.203, 10.835, 7.132 Å; angles 90.00, 106.42, 90.00 degrees
Space group C2/m (No. 12)
Unique sites:
Na  0.000  0.163  0.000 [4 per cell]
Al  0.000  0.331  0.500 [4 per cell]
Sn  0.000  0.000  0.500 [2 per cell]
S  0.218  0.500  0.700 [4 per cell]
S  0.238  0.175  0.703 [8 per cell]

Summary:
The formation energy from raw total energies comes out at -969 meV/atom. The calculation puts the calculated total energy at -0.1655 Ha/atom.